1.
NaBi2Rh: relaxed, PBE.

a = 5.0182 Å, b = 5.0182 Å, c = 5.0182 Å
α = 60.00°, β = 60.00°, γ = 60.00°
With the nearest neighbours (Å) after each atom.
Sites, in units of the cell vectors:
1 Na 0.0000 0.0000 0.0000  8 Bi 3.07
2 Bi 0.2500 0.2500 0.2500  4 Na 3.07, 4 Rh 3.07
3 Bi 0.7500 0.7500 0.7500  4 Na 3.07, 4 Rh 3.07
4 Rh 0.5000 0.5000 0.5000  8 Bi 3.07

Results
- relative energy among the computed polymorphs (meV per atom) = 75
- DFT total energy (eV/f.u.) = -16.9
- space group = Fm-3m, No. 225
- ΔE_f (meV per atom) = -116

2.
NaBi2Rh3: relaxed, PBE.

a = 8.3352 Å, b = 8.3352 Å, c = 9.0615 Å
α = 112.74°, β = 112.74°, γ = 28.25°
With the nearest neighbours (Å) after each atom.
Sites, in units of the cell vectors:
1 Na 0.1296 0.1296 0.4791  3 Bi 3.17-3.38, 2 Rh 3.48
2 Na 0.8704 0.8704 0.5209  3 Bi 3.17-3.38, 2 Rh 3.48
3 Bi 0.2072 0.2072 0.2086  6 Rh 2.80-2.85
4 Bi 0.4525 0.4525 0.2856  4 Rh 2.67-2.76
5 Bi 0.5475 0.5475 0.7144  4 Rh 2.67-2.76
6 Bi 0.7928 0.7928 0.7914  6 Rh 2.80-2.85
7 Rh 0.0515 0.0515 0.9213  5 Rh 2.59-2.77, 3 Bi 2.75-2.81
8 Rh 0.3053 0.3053 0.0112  5 Rh 2.66-2.96, 4 Bi 2.67-2.82
9 Rh 0.4264 0.4264 0.8592  6 Rh 2.71-2.81, 3 Bi 2.76-2.85
10 Rh 0.5736 0.5736 0.1408  6 Rh 2.71-2.81, 3 Bi 2.76-2.85
11 Rh 0.6947 0.6947 0.9888  5 Rh 2.66-2.96, 4 Bi 2.67-2.82
12 Rh 0.9485 0.9485 0.0787  5 Rh 2.59-2.77, 3 Bi 2.75-2.81

Results
- DFT total energy (eV/f.u.) = -31.8
- space group = C2/m, No. 12
- ΔE_f (meV per atom) = -109

3.
NaBi2Rh2: relaxed, PBE.

a = 7.4747 Å, b = 7.4747 Å, c = 7.4747 Å
α = 147.07°, β = 147.07°, γ = 47.25°
With the nearest neighbours (Å) after each atom.
Sites, in units of the cell vectors:
1 Na 0.0000 0.0000 0.0000  8 Bi 3.48
2 Bi 0.3713 0.3713 0.0000  4 Rh 2.69
3 Bi 0.6287 0.6287 0.0000  4 Rh 2.69
4 Rh 0.2500 0.7500 0.5000  4 Bi 2.69, 4 Rh 3.00
5 Rh 0.7500 0.2500 0.5000  4 Bi 2.69, 4 Rh 3.00

Results
- relative energy among the computed polymorphs (meV per atom) = 0
- DFT total energy (eV/f.u.) = -24.7
- space group = I4/mmm, No. 139
- ΔE_f (meV per atom) = -180

4.
NaBiRh4: relaxed, PBE.

a = 5.3017 Å, b = 5.3017 Å, c = 5.3017 Å
α = 60.00°, β = 60.00°, γ = 60.00°
With the nearest neighbours (Å) after each atom.
Sites, in units of the cell vectors:
1 Na 0.0000 0.0000 0.0000  12 Rh 3.11, 4 Bi 3.25
2 Bi 0.2500 0.2500 0.2500  12 Rh 3.11, 4 Na 3.25
3 Rh 0.1250 0.6250 0.6250  6 Rh 2.65
4 Rh 0.6250 0.1250 0.6250  6 Rh 2.65
5 Rh 0.6250 0.6250 0.1250  6 Rh 2.65
6 Rh 0.6250 0.6250 0.6250  6 Rh 2.65

Results
- DFT total energy (eV/f.u.) = -34.0
- space group = F-43m, No. 216
- ΔE_f (meV per atom) = 96

5.
NaBi4Rh: relaxed, PBE.

a = 6.7343 Å, b = 7.1254 Å, c = 8.0970 Å
α = 106.99°, β = 106.14°, γ = 91.15°
With the nearest neighbours (Å) after each atom.
Sites, in units of the cell vectors:
1 Na 0.0432 0.2562 0.0062  6 Bi 3.29-3.61, 2 Na 3.56-3.65
2 Na 0.9568 0.7438 0.9938  6 Bi 3.29-3.61, 2 Na 3.56-3.65
3 Bi 0.0991 0.1157 0.3994  2 Rh 2.77-2.81
4 Bi 0.3096 0.5374 0.8100  1 Rh 2.72
5 Bi 0.3312 0.6149 0.3967  2 Rh 2.74-2.78
6 Bi 0.4154 0.0986 0.8232  1 Rh 2.73
7 Bi 0.5846 0.9014 0.1768  1 Rh 2.73
8 Bi 0.6688 0.3851 0.6033  2 Rh 2.74-2.78
9 Bi 0.6904 0.4626 0.1900  1 Rh 2.72
10 Bi 0.9009 0.8843 0.6006  2 Rh 2.77-2.81
11 Rh 0.0000 0.5000 0.5000  6 Bi 2.72-2.78
12 Rh 0.5000 0.0000 0.5000  6 Bi 2.73-2.81

Results
- DFT total energy (eV/f.u.) = -24.8
- space group = P-1, No. 2
- ΔE_f (meV per atom) = -97

6.
NaBi2Rh: relaxed, PBE.

a = 7.3605 Å, b = 7.3605 Å, c = 7.3605 Å
α = 33.80°, β = 33.80°, γ = 33.80°
With the nearest neighbours (Å) after each atom.
Sites, in units of the cell vectors:
1 Na 0.0000 0.0000 0.0000  6 Bi 3.30-3.33, 1 Rh 3.43
2 Bi 0.5592 0.5592 0.5592  3 Rh 2.78
3 Bi 0.7721 0.7721 0.7721  3 Rh 2.76
4 Rh 0.1650 0.1650 0.1650  6 Bi 2.76-2.78

Results
- relative energy among the computed polymorphs (meV per atom) = 1
- DFT total energy (eV/f.u.) = -17.2
- space group = R3m, No. 160
- ΔE_f (meV per atom) = -190

7.
Na2Bi5Rh3: relaxed, PBE.

a = 14.1059 Å, b = 14.1059 Å, c = 7.5755 Å
α = 90.00°, β = 90.00°, γ = 161.49°
With the nearest neighbours (Å) after each atom.
Sites, in units of the cell vectors:
1 Na 0.0242 0.9758 0.5000  3 Rh 2.93-3.24, 2 Bi 3.21
2 Na 0.3313 0.6687 0.4669  6 Bi 3.23-3.33, 2 Rh 3.32
3 Na 0.6687 0.3313 0.9669  6 Bi 3.23-3.33, 2 Rh 3.32
4 Na 0.9758 0.0242 0.0000  3 Rh 2.93-3.24, 2 Bi 3.21
5 Bi 0.0959 0.9041 0.1182  3 Rh 2.67-2.78
6 Bi 0.2016 0.7984 0.6882  4 Rh 2.77-2.98
7 Bi 0.2112 0.7888 0.2478  3 Rh 2.81-2.85
8 Bi 0.3810 0.6190 0.0052  4 Rh 2.89-2.98
9 Bi 0.4570 0.5430 0.3312  4 Rh 2.80-2.90
10 Bi 0.5430 0.4570 0.8312  4 Rh 2.80-2.90
11 Bi 0.6190 0.3810 0.5052  4 Rh 2.89-2.98
12 Bi 0.7888 0.2112 0.7478  3 Rh 2.81-2.85
13 Bi 0.7984 0.2016 0.1882  4 Rh 2.77-2.98
14 Bi 0.9041 0.0959 0.6182  3 Rh 2.67-2.78
15 Rh 0.1038 0.8962 0.7530  6 Bi 2.77-2.98, 1 Na 2.93
16 Rh 0.2780 0.7220 0.9634  7 Bi 2.81-2.98
17 Rh 0.4478 0.5522 0.7123  5 Bi 2.67-2.90
18 Rh 0.5522 0.4478 0.2123  5 Bi 2.67-2.90
19 Rh 0.7220 0.2780 0.4634  7 Bi 2.81-2.98
20 Rh 0.8962 0.1038 0.2530  6 Bi 2.77-2.98, 1 Na 2.93

Results
- DFT total energy (eV/f.u.) = -46.0
- space group = Cmc2_1, No. 36
- ΔE_f (meV per atom) = -194

8.
NaBi2Rh2: relaxed, PBE.

a = 8.1497 Å, b = 8.1497 Å, c = 3.2723 Å
α = 90.00°, β = 90.00°, γ = 90.00°
With the nearest neighbours (Å) after each atom.
Sites, in units of the cell vectors:
1 Na 0.0000 0.0000 0.0000  4 Bi 3.09, 2 Na 3.27
2 Na 0.5000 0.5000 0.0000  4 Bi 3.09, 2 Na 3.27
3 Bi 0.1527 0.3473 0.0000  6 Rh 2.86-2.94, 2 Na 3.09
4 Bi 0.3473 0.8473 0.0000  6 Rh 2.86-2.94, 2 Na 3.09
5 Bi 0.6527 0.1527 0.0000  6 Rh 2.86-2.94, 2 Na 3.09
6 Bi 0.8473 0.6527 0.0000  6 Rh 2.86-2.94, 2 Na 3.09
7 Rh 0.1349 0.6349 0.5000  6 Bi 2.86-2.94, 1 Rh 3.11
8 Rh 0.3651 0.1349 0.5000  6 Bi 2.86-2.94, 1 Rh 3.11
9 Rh 0.6349 0.8651 0.5000  6 Bi 2.86-2.94, 1 Rh 3.11
10 Rh 0.8651 0.3651 0.5000  6 Bi 2.86-2.94, 1 Rh 3.11

Results
- relative energy among the computed polymorphs (meV per atom) = 121
- DFT total energy (eV/f.u.) = -24.1
- space group = P4/mbm, No. 127
- ΔE_f (meV per atom) = -59

9.
NaBiRh3: relaxed, PBE.

a = 5.0419 Å, b = 5.0419 Å, c = 5.0419 Å
α = 90.00°, β = 90.00°, γ = 90.00°
With the nearest neighbours (Å) after each atom.
Sites, in units of the cell vectors:
1 Na 0.0000 0.0000 0.0000  12 Rh 3.57
2 Bi 0.5000 0.5000 0.5000  6 Rh 2.52
3 Rh 0.0000 0.5000 0.5000  2 Bi 2.52
4 Rh 0.5000 0.0000 0.5000  2 Bi 2.52
5 Rh 0.5000 0.5000 0.0000  2 Bi 2.52

Results
- relative energy among the computed polymorphs (meV per atom) = 0
- DFT total energy (eV/f.u.) = -22.6
- space group = Pm-3m, No. 221
- ΔE_f (meV per atom) = 923

10.
NaBi2SbRh: relaxed, PBE.

a = 5.9336 Å, b = 5.9336 Å, c = 4.9051 Å
α = 90.00°, β = 90.00°, γ = 90.00°
With the nearest neighbours (Å) after each atom.
Sites, in units of the cell vectors:
1 Na 0.0000 0.0000 0.0000  8 Bi 3.85, 4 Rh 4.20
2 Bi 0.0000 0.5000 0.5000  2 Sb 2.97
3 Bi 0.5000 0.0000 0.5000  2 Sb 2.97
4 Sb 0.5000 0.5000 0.5000  2 Rh 2.45
5 Rh 0.5000 0.5000 0.0000  2 Sb 2.45

Results
- DFT total energy (eV/f.u.) = -18.3
- space group = P4/mmm, No. 123
- formation energy (no corrections) (meV per atom) = 452

11.
NaSiBiRh2: relaxed, PBE.

a = 4.6973 Å, b = 4.6973 Å, c = 4.9513 Å
α = 90.00°, β = 90.00°, γ = 90.00°
With the nearest neighbours (Å) after each atom.
Sites, in units of the cell vectors:
1 Na 0.0000 0.0000 0.0000  4 Rh 2.35, 2 Bi 2.48
2 Si 0.5000 0.5000 0.5000  4 Bi 3.32, 8 Rh 3.41
3 Bi 0.0000 0.0000 0.5000  2 Na 2.48
4 Rh 0.0000 0.5000 0.0000  2 Na 2.35
5 Rh 0.5000 0.0000 0.0000  2 Na 2.35

Results
- DFT total energy (eV/f.u.) = -17.7
- space group = P4/mmm, No. 123
- formation energy (no corrections) (meV per atom) = 1521

12.
Na2SiBiRh: relaxed, PBE.

a = 5.7836 Å, b = 5.7836 Å, c = 5.2234 Å
α = 90.00°, β = 90.00°, γ = 90.00°
With the nearest neighbours (Å) after each atom.
Sites, in units of the cell vectors:
1 Na 0.0000 0.5000 0.0000  2 Bi 2.89
2 Na 0.5000 0.0000 0.0000  2 Bi 2.89
3 Si 0.0000 0.0000 0.5000  2 Bi 2.61
4 Bi 0.0000 0.0000 0.0000  2 Si 2.61, 4 Na 2.89
5 Rh 0.5000 0.5000 0.5000  8 Na 3.90, 4 Si 4.09

Results
- DFT total energy (eV/f.u.) = -13.7
- space group = P4/mmm, No. 123
- formation energy (no corrections) (meV per atom) = 1124

What magnetic moment values result from the calculations? In sequence: 0.000 0.000 0.000 0.002 0.000 0.000 0.000 0.000 0.721 0.000 0.000 1.515 μB per formula unit.